(1)
Tb9Dy4Y11: optimized geometry, GGA-PBE.

Summary:
Total energy: -5.419 eV/atom
Crystal system: orthorhombic

a b c (Å): 16.704 25.203 3.690
angles (deg): 90.00 90.00 90.00
Space group Cmmm (No. 65)
Symmetry-distinct sites (fractional):
1 Tb 0.000 0.000 0.000 (multiplicity 2)
2 Tb 0.102 0.234 0.000 (multiplicity 8)
3 Tb 0.142 0.427 0.000 (multiplicity 8)
4 Dy 0.155 0.101 0.000 (multiplicity 8)
5 Y 0.000 0.133 0.500 (multiplicity 4)
6 Y 0.000 0.340 0.500 (multiplicity 4)
7 Y 0.000 0.500 0.500 (multiplicity 2)
8 Y 0.208 0.000 0.500 (multiplicity 4)
9 Y 0.226 0.319 0.500 (multiplicity 8)



(2)
Tb4Dy3Y5: optimized geometry, GGA-PBE.

Summary:
Excess energy over the best structure of this formula in the dataset: 216.1 meV per atom
Crystal system: monoclinic

a b c (Å): 16.104 5.881 9.264
angles (deg): 90.00 116.40 90.00
Space group C2/m (No. 12)
Symmetry-distinct sites (fractional):
1 Tb 0.081 0.000 0.442 (multiplicity 4)
2 Tb 0.214 0.000 0.879 (multiplicity 4)
3 Dy 0.000 0.500 0.000 (multiplicity 2)
4 Dy 0.209 0.000 0.231 (multiplicity 4)
5 Y 0.000 0.000 0.000 (multiplicity 2)
6 Y 0.074 0.500 0.703 (multiplicity 4)
7 Y 0.173 0.500 0.386 (multiplicity 4)



(3)
Tb3Dy2Y3: optimized geometry, GGA-PBE.

Summary:
Excess energy over the best structure of this formula in the dataset: 0.0 meV per atom
Crystal system: monoclinic

a b c (Å): 16.122 5.717 6.003
angles (deg): 90.00 110.91 90.00
Space group C2/m (No. 12)
Symmetry-distinct sites (fractional):
1 Tb 0.000 0.000 0.000 (multiplicity 2)
2 Tb 0.132 0.000 0.690 (multiplicity 4)
3 Dy 0.249 0.000 0.317 (multiplicity 4)
4 Y 0.000 0.500 0.500 (multiplicity 2)
5 Y 0.132 0.500 0.078 (multiplicity 4)



(4)
Tb4Dy4Y3: optimized geometry, GGA-PBE.

Summary:
Excess energy over the best structure of this formula in the dataset: 0.0 meV per atom
Crystal system: triclinic

a b c (Å): 3.533 5.595 18.059
angles (deg): 81.11 84.40 90.00
Space group P-1 (No. 2)
Symmetry-distinct sites (fractional):
1 Tb 0.045 0.045 0.408 (multiplicity 2)
2 Tb 0.180 0.680 0.139 (multiplicity 2)
3 Dy 0.090 0.590 0.319 (multiplicity 2)
4 Dy 0.234 0.233 0.033 (multiplicity 2)
5 Y 0.364 0.864 0.774 (multiplicity 2)
6 Y 0.500 0.500 0.500 (multiplicity 1)